! BaInPb2, optimized geometry, DFT GGA-PBEsol; values from VASP
! - SG: No. 216
&SYSTEM
  ibrav = 0, nat = 4, ntyp = 3
/
ATOMIC_SPECIES
Pb 207.20 Pb.upf
Ba 137.33 Ba.upf
In 114.82 In.upf
CELL_PARAMETERS angstrom
5.6599 0.0000 0.0000
2.8300 4.9016 0.0000
2.8300 1.6339 4.6213
ATOMIC_POSITIONS angstrom
Pb 8.4899 4.9016 3.4660
Pb 0.0000 0.0000 0.0000
Ba 5.6599 3.2678 2.3107
In 2.8300 1.6339 1.1553

! Ba2InPb2, optimized geometry, DFT GGA-PBEsol; values from VASP
! - Excess energy over the best structure of this formula in the dataset: 0 meV per atom
! - SG: No. 127
&SYSTEM
  ibrav = 0, nat = 10, ntyp = 3
/
ATOMIC_SPECIES
Ba 137.33 Ba.upf
In 114.82 In.upf
Pb 207.20 Pb.upf
CELL_PARAMETERS angstrom
5.3723 0.0000 0.0000
0.0000 8.1719 0.0000
0.0000 0.0000 8.1719
ATOMIC_POSITIONS angstrom
Ba 2.6862 2.7029 1.3831
Ba 2.6862 6.7888 2.7029
Ba 2.6862 5.4691 6.7888
Ba 2.6862 1.3831 5.4691
In 0.0000 0.0000 0.0000
In 0.0000 4.0860 4.0860
Pb 0.0000 2.9793 7.0652
Pb 0.0000 5.1927 1.1067
Pb 0.0000 7.0652 5.1927
Pb 0.0000 1.1067 2.9793

! BaInPb, optimized geometry, DFT GGA-PBEsol; values from VASP
! - SG: No. 156
&SYSTEM
  ibrav = 0, nat = 3, ntyp = 3
/
ATOMIC_SPECIES
In 114.82 In.upf
Ba 137.33 Ba.upf
Pb 207.20 Pb.upf
CELL_PARAMETERS angstrom
-3.9571 -1.5738 2.4728
0.5595 -1.1676 -4.7513
2.4711 -4.1525 1.3114
ATOMIC_POSITIONS angstrom
In 0.4965 -3.7272 -1.5776
Ba 2.4648 -4.1420 1.3081
Pb -1.4169 -3.1772 0.6139

! BaIn2Pb2, optimized geometry, DFT GGA-PBEsol; values from VASP
! - SG: No. 139
&SYSTEM
  ibrav = 0, nat = 5, ntyp = 3
/
ATOMIC_SPECIES
In 114.82 In.upf
Pb 207.20 Pb.upf
Ba 137.33 Ba.upf
CELL_PARAMETERS angstrom
4.8619 0.0000 0.0000
0.0000 4.8619 0.0000
-2.4309 -2.4309 6.8685
ATOMIC_POSITIONS angstrom
In 0.0000 2.4309 3.4343
In 2.4309 0.0000 3.4343
Pb 0.0000 0.0000 5.2997
Pb 2.4309 2.4309 1.5689
Ba 0.0000 0.0000 0.0000

! BaIn2PtPb, optimized geometry, DFT GGA-PBEsol; values from VASP
! - SG: No. 123
&SYSTEM
  ibrav = 0, nat = 5, ntyp = 4
/
ATOMIC_SPECIES
In 114.82 In.upf
Pb 207.20 Pb.upf
Ba 137.33 Ba.upf
Pt 195.08 Pt.upf
CELL_PARAMETERS angstrom
-3.8423 -1.8653 -2.8322
3.7418 -1.8990 -3.8257
0.3430 -4.9361 2.7857
ATOMIC_POSITIONS angstrom
In 1.8709 -0.9495 -1.9128
In 0.1715 -2.4681 1.3929
Pb 0.0000 0.0000 0.0000
Ba 0.1212 -4.3503 -1.9361
Pt -1.9212 -0.9327 -1.4161

! RbBa2InPb, optimized geometry, DFT GGA-PBEsol; values from VASP
! - SG: No. 123
&SYSTEM
  ibrav = 0, nat = 5, ntyp = 4
/
ATOMIC_SPECIES
Ba 137.33 Ba.upf
Pb 207.20 Pb.upf
In 114.82 In.upf
Rb 85.47 Rb.upf
CELL_PARAMETERS angstrom
5.7929 0.0000 0.0000
0.0000 6.2828 0.0000
0.0000 0.0000 6.2828
ATOMIC_POSITIONS angstrom
Ba 0.0000 3.1414 0.0000
Ba 0.0000 0.0000 3.1414
Pb 2.8964 3.1414 3.1414
In 2.8964 0.0000 0.0000
Rb 0.0000 0.0000 0.0000

Number 1: energy of formation -0.274 eV/atom. Number 2: energy of formation -0.474 eV/atom. Number 3: energy of formation -0.464 eV/atom. Number 4: energy of formation -0.275 eV/atom. Number 5: energy of formation 0.169 eV/atom. Number 6: energy of formation 0.636 eV/atom.